1.
A plane-wave DFT calculation with PBE-GGA was carried out for Tb3Sm6YEr2 after structural relaxation.

Calculated values
ΔH_f (0 K), kJ/mol of formula units: 16.1

Structure (CIF):
```
data_Tb3Sm6YEr2
_cell_length_a 6.222
_cell_length_b 10.773
_cell_length_c 11.836
_cell_angle_alpha 90.00
_cell_angle_beta 100.05
_cell_angle_gamma 90.00
_symmetry_space_group_name_H-M 'C 1 2/m 1'
_symmetry_Int_Tables_number 12
loop_
_symmetry_equiv_pos_as_xyz
'x,y,z'
'-x,-y,-z'
'-x,y,-z'
'x,-y,z'
'x+1/2,y+1/2,z'
'-x+1/2,-y+1/2,-z'
'-x+1/2,y+1/2,-z'
'x+1/2,-y+1/2,z'
loop_
_atom_site_label
_atom_site_type_symbol
_atom_site_fract_x
_atom_site_fract_y
_atom_site_fract_z
_atom_site_occupancy
Tb1 Tb 0.000 0.000 0.000 1
Tb2 Tb 0.000 0.333 0.000 1
Sm1 Sm 0.249 0.000 0.749 1
Sm2 Sm 0.249 0.167 0.251 1
Y1 Y 0.000 0.500 0.500 1
Er1 Er 0.000 0.167 0.500 1
```

***

2.
A plane-wave DFT calculation with PBE-GGA was carried out for MgCdBiRh after structural relaxation.

Calculated values
ΔH_f (0 K), kJ/mol of formula units: -12.4

Structure (CIF):
```
data_MgCdBiRh
_cell_length_a 6.884
_cell_length_b 6.884
_cell_length_c 6.884
_cell_angle_alpha 90.00
_cell_angle_beta 90.00
_cell_angle_gamma 90.00
_symmetry_space_group_name_H-M 'F -4 3 m'
_symmetry_Int_Tables_number 216
_symmetry_space_group_name_Hall 'F -4 2 3'
loop_
_atom_site_label
_atom_site_type_symbol
_atom_site_fract_x
_atom_site_fract_y
_atom_site_fract_z
_atom_site_occupancy
Mg1 Mg 0.000 0.000 0.000 1
Cd1 Cd 0.250 0.250 0.250 1
Bi1 Bi 0.250 0.250 0.750 1
Rh1 Rh 0.000 0.000 0.500 1
```